VASP calculation (PBEsol) on a relaxed Ho4Ga12Ni crystal.

The structure in POSCAR format:
```
Ho4Ga12Ni
1.0
7.289 0.000 0.000
-2.430 6.872 0.000
-2.430 -3.436 5.951
Ga Ho Ni
12 4 1
direct
0.000 0.713 0.713
0.750 0.500 0.250
0.750 0.250 0.500
0.713 0.000 0.713
0.500 0.750 0.250
0.500 0.250 0.750
0.000 0.287 0.287
0.287 0.287 0.000
0.250 0.750 0.500
0.250 0.500 0.750
0.713 0.713 0.000
0.287 0.000 0.287
0.500 0.500 0.500
0.500 0.000 0.000
0.000 0.500 0.000
0.000 0.000 0.500
0.000 0.000 0.000
```

Summary:
As for the total energy: -76.56 eV per cell. The calculation puts the volume at 298 Å³ per cell. For the energy relative to the elements, the calculation gives -619 meV per atom. Its magnetization is 0.000 μB per cell.